No. 1
Below is a relaxed Mn2GePb crystal, with properties calculated at the GGA-PBE level.

Results
Energy of formation ... 681 meV per atom
Excess energy over the best structure of this formula in the dataset ... 0.120 eV per atom
DOS(E_F) ... 9.5 states/eV/cell

Cell: 4.3945 4.3945 4.3945 Å, 60.00 60.00 60.00°
Last column: nearest neighbours and their distance in Å.
Fractional positions:
Mn1 0.2500 0.2500 0.2500  4 Ge 2.69, 4 Pb 2.69
Mn2 0.7500 0.7500 0.7500  4 Ge 2.69, 4 Pb 2.69
Pb1 0.5000 0.5000 0.5000  8 Mn 2.69
Ge1 0.0000 0.0000 0.0000  8 Mn 2.69



No. 2
Below is a relaxed MnGe2PbS6 crystal, with properties calculated at the GGA-PBE level.

Results
Formation energy (no corrections) ... -0.34 eV/atom

Cell: 6.8711 8.9135 8.9135 Å, 87.92 75.65 75.65°
Last column: nearest neighbours and their distance in Å.
Fractional positions:
S1 0.8118 0.0380 0.1926  1 Ge 2.25, 1 Mn 2.48
S2 0.0253 0.6964 0.5697  2 Ge 2.27-2.30
S3 0.9221 0.3965 0.8689  1 Ge 2.23, 1 Mn 2.36
S4 0.1882 0.9620 0.8074  1 Ge 2.25, 1 Mn 2.48
S5 0.0779 0.6035 0.1311  1 Ge 2.23, 1 Mn 2.36
S6 0.5779 0.1311 0.6035  1 Ge 2.23, 1 Mn 2.36
S7 0.4747 0.4303 0.3036  2 Ge 2.27-2.30
S8 0.6882 0.8074 0.9620  1 Ge 2.25, 1 Mn 2.48
S9 0.4221 0.8689 0.3965  1 Ge 2.23, 1 Mn 2.36
S10 0.9747 0.3036 0.4303  2 Ge 2.27-2.30
S11 0.5253 0.5697 0.6964  2 Ge 2.27-2.30
S12 0.3118 0.1926 0.0380  1 Ge 2.25, 1 Mn 2.48
Ge1 0.7975 0.6237 0.7724  4 S 2.23-2.30
Ge2 0.2975 0.7724 0.6237  4 S 2.23-2.30
Ge3 0.2025 0.3763 0.2276  4 S 2.23-2.30
Ge4 0.7025 0.2276 0.3763  4 S 2.23-2.30
Pb1 0.7500 0.1257 0.8743  6 S 2.92-3.02
Pb2 0.2500 0.8743 0.1257  6 S 2.92-3.02
Mn1 0.2500 0.2257 0.7743  4 S 2.36-2.48
Mn2 0.7500 0.7743 0.2257  4 S 2.36-2.48



No. 3
Below is a relaxed MnGe2Pd2 crystal, with properties calculated at the GGA-PBE level.

Results
Energy of formation ... -156 meV per atom
DOS(E_F) ... 6.9 states/eV/cell

Cell: 7.0279 7.0279 3.2071 Å, 90.00 90.00 90.00°
Last column: nearest neighbours and their distance in Å.
Fractional positions:
Pd1 0.8536 0.3536 0.5000  6 Ge 2.56-2.64
Pd2 0.6464 0.8536 0.5000  6 Ge 2.56-2.64
Pd3 0.1464 0.6464 0.5000  6 Ge 2.56-2.64
Pd4 0.3536 0.1464 0.5000  6 Ge 2.56-2.64
Ge1 0.6526 0.1526 0.0000  6 Pd 2.56-2.64, 2 Mn 2.67
Ge2 0.3474 0.8474 0.0000  6 Pd 2.56-2.64, 2 Mn 2.67
Ge3 0.8474 0.6526 0.0000  6 Pd 2.56-2.64, 2 Mn 2.67
Ge4 0.1526 0.3474 0.0000  6 Pd 2.56-2.64, 2 Mn 2.67
Mn1 0.0000 0.0000 0.0000  4 Ge 2.67
Mn2 0.5000 0.5000 0.0000  4 Ge 2.67



No. 4
Below is a relaxed MnGe2Pd crystal, with properties calculated at the GGA-PBE level.

Results
Energy of formation ... 90 meV per atom
Excess energy over the best structure of this formula in the dataset ... 0.188 eV per atom
DOS(E_F) ... 1.9 states/eV/cell

Cell: 2.9691 2.9691 9.1046 Å, 80.62 80.62 60.00°
Last column: nearest neighbours and their distance in Å.
Fractional positions:
Ge1 0.0916 0.0916 0.7253  1 Mn 2.46, 3 Pd 2.65
Ge2 0.9084 0.9084 0.2747  1 Mn 2.46, 3 Pd 2.65
Pd1 0.5000 0.5000 0.5000  6 Ge 2.65
Mn1 0.0000 0.0000 0.0000  2 Ge 2.46



no.,density (g/cm³),DFT total energy (eV per formula unit)
1,10.8,-23.942
2,3.9,-50.280
3,8.7,-29.568
4,7.5,-23.236